(1)
# PBE Gd2GaPb, relaxed
# **M_tot**: 14.91 μB per formula unit
# **V**: 26.228 Å³ per atom
# **Energy of formation**: -0.513 eV per atom
data_Gd2GaPb
_cell_length_a 4.868
_cell_length_b 4.868
_cell_length_c 4.427
_cell_angle_alpha 90.00
_cell_angle_beta 90.00
_cell_angle_gamma 90.00
_symmetry_space_group_name_H-M 'P 4/m m m'
_symmetry_Int_Tables_number 123
_symmetry_space_group_name_Hall '-P 4 2'
loop_
_atom_site_label
_atom_site_type_symbol
_atom_site_fract_x
_atom_site_fract_y
_atom_site_fract_z
Gd1 Gd 0.000 0.500 0.000
Ga1 Ga 0.000 0.000 0.500
Pb1 Pb 0.500 0.500 0.500

(2)
# PBE GdGaPdPb, relaxed
# **M_tot**: 7.02 μB per formula unit
# **V**: 21.947 Å³ per atom
# **Energy of formation**: -0.500 eV per atom
data_GdGaPdPb
_cell_length_a 7.055
_cell_length_b 7.055
_cell_length_c 7.055
_cell_angle_alpha 90.00
_cell_angle_beta 90.00
_cell_angle_gamma 90.00
_symmetry_space_group_name_H-M 'F -4 3 m'
_symmetry_Int_Tables_number 216
_symmetry_space_group_name_Hall 'F -4 2 3'
loop_
_atom_site_label
_atom_site_type_symbol
_atom_site_fract_x
_atom_site_fract_y
_atom_site_fract_z
Gd1 Gd 0.000 0.000 0.000
Ga1 Ga 0.250 0.250 0.250
Pd1 Pd 0.250 0.250 0.750
Pb1 Pb 0.000 0.000 0.500

- V of number 1 (Gd2GaPb)?
  26.228 Å³ per atom

- Which of these has the lowest V?
  GdGaPdPb